# GGA-PBE Sr3TaTe, relaxed
# E_tot ... -3.3716 eV/atom
# N(E_F) ... 6.1 states/eV/f.u.
# Formation energy (no corrections) ... 0.636 eV per atom
# Density ... 4.87 g/cm3
# Energy above the most stable polymorph in this dataset ... 104 meV per atom
data_Sr3TaTe
_chemical_formula_sum 'Sr3 Ta1 Te1'
_cell_length_a 5.7964
_cell_length_b 5.7964
_cell_length_c 5.7964
_cell_angle_alpha 90.00
_cell_angle_beta 90.00
_cell_angle_gamma 90.00
_symmetry_space_group_name_H-M 'P m -3 m'
_symmetry_Int_Tables_number 221
_symmetry_space_group_name_Hall '-P 4 2 3'
loop_
_atom_site_label
_atom_site_fract_x
_atom_site_fract_y
_atom_site_fract_z
Sr1 0.0000 0.0000 0.5000
Ta1 0.0000 0.0000 0.0000
Te1 0.5000 0.5000 0.5000